# 1
## CaMnBr2 (PBE)

Data for an optimized crystal structure of CaMnBr2.

Computed properties:
final energy: -16.61 eV per cell
energy relative to the elements, uncorrected: -524 meV/atom
crystal system: orthorhombic

```
CaMnBr2
1.0
-2.860 -2.398 1.021
0.533 -2.970 -5.483
2.919 -2.731 1.763
Br Mn Ca
2 1 1
Direct
0.500 0.500 0.000
0.000 0.000 0.000
0.000 0.500 0.500
0.500 0.000 0.500
```

=====

# 2
## CaMnBr2 (PBE)

Data for an optimized crystal structure of CaMnBr2.

Computed properties:
final energy: -16.64 eV per cell
energy relative to the elements, uncorrected: -530 meV/atom
crystal system: monoclinic

```
CaMnBr2
1.0
5.825 0.002 0.000
-1.083 5.724 0.000
1.423 1.719 3.339
Br Mn Ca
2 1 1
Direct
0.000 0.000 0.000
0.500 0.500 0.000
0.000 0.500 0.500
0.500 0.000 0.500
```

=====

# 3
## Ca2MnBr (PBE)

Data for an optimized crystal structure of Ca2MnBr.

Computed properties:
final energy: -15.33 eV per cell
energy relative to the elements, uncorrected: -121 meV/atom
crystal system: orthorhombic

```
Ca2MnBr
1.0
6.232 0.007 -0.005
1.611 6.020 0.005
-2.817 -4.451 3.330
Mn Ca Br
1 2 1
Direct
0.250 0.750 0.500
0.525 0.525 0.000
0.975 0.975 0.000
0.750 0.250 0.500
```

=====

# 4
## CaMn2Br (PBE)

Data for an optimized crystal structure of CaMn2Br.

Computed properties:
final energy: -16.61 eV per cell
energy relative to the elements, uncorrected: 1351 meV/atom
crystal system: cubic

```
CaMn2Br
1.0
0.840 -1.576 4.100
-3.320 -1.704 2.464
-0.173 -4.400 0.783
Mn Br Ca
2 1 1
Direct
0.250 0.250 0.250
0.750 0.750 0.750
0.500 0.500 0.500
0.000 0.000 0.000
```

=====

# 5
## CaMnBr4 (PBE)

Data for an optimized crystal structure of CaMnBr4.

Computed properties:
final energy: -17.11 eV per cell
energy relative to the elements, uncorrected: 125 meV/atom
crystal system: cubic

```
CaMnBr4
1.0
0.000 4.549 4.549
4.549 0.000 4.549
4.549 4.549 0.000
Ca Br Mn
1 4 1
Direct
0.750 0.750 0.750
0.375 0.375 0.375
0.875 0.375 0.375
0.375 0.875 0.375
0.375 0.375 0.875
0.000 0.000 0.000
```

=====

# 6
## CaMnBr2 (PBE)

Data for an optimized crystal structure of CaMnBr2.

Computed properties:
final energy: -16.95 eV per cell
energy relative to the elements, uncorrected: -609 meV/atom
crystal system: tetragonal

```
CaMnBr2
1.0
-0.099 0.211 3.560
3.558 -0.233 0.113
0.711 10.544 -0.605
Br Ca Mn
2 1 1
Direct
0.000 0.000 0.411
0.000 0.000 0.089
0.500 0.500 0.250
0.500 0.500 0.750
```

=====

# 7
## CaMn2Br (PBE)

Data for an optimized crystal structure of CaMn2Br.

Computed properties:
final energy: -20.64 eV per cell
energy relative to the elements, uncorrected: 344 meV/atom
crystal system: orthorhombic

```
CaMn2Br
1.0
-5.613 0.382 1.365
3.467 -4.036 2.283
0.803 2.207 2.683
Br Mn Ca
1 2 1
Direct
0.500 0.000 0.500
0.500 0.500 0.000
0.000 0.000 0.000
0.000 0.500 0.500
```

=====

# 8
## CaMnBr2 (PBE)

Data for an optimized crystal structure of CaMnBr2.

Computed properties:
final energy: -16.56 eV per cell
energy relative to the elements, uncorrected: -510 meV/atom
crystal system: cubic

```
CaMnBr2
1.0
0.000 3.695 3.695
3.695 0.000 3.695
3.695 3.695 0.000
Br Ca Mn
2 1 1
Direct
0.250 0.250 0.250
0.750 0.750 0.750
0.000 0.000 0.000
0.500 0.500 0.500
```

=====

# 9
## CaMn2Br (PBE)

Data for an optimized crystal structure of CaMn2Br.

Computed properties:
final energy: -21.27 eV per cell
energy relative to the elements, uncorrected: 186 meV/atom
crystal system: orthorhombic

```
CaMn2Br
1.0
-2.726 -0.192 2.135
1.058 -4.299 0.965
3.429 1.864 4.547
Mn Br Ca
2 1 1
Direct
0.000 0.000 0.000
0.500 0.500 0.000
0.500 0.000 0.500
0.000 0.500 0.500
```

=====

# 10
## Na2CaMnBr6 (PBE)

Data for an optimized crystal structure of Na2CaMnBr6.

Computed properties:
final energy: -38.26 eV per cell
energy relative to the elements, uncorrected: -1441 meV/atom
crystal system: trigonal

```
Na2CaMnBr6
1.0
-1.435 -3.071 -6.468
-6.070 -3.959 -0.896
-5.709 2.986 -4.273
Br Na Ca Mn
6 2 1 1
Direct
0.579 0.210 0.254
0.434 0.693 0.770
0.958 0.579 0.254
0.103 0.434 0.770
0.210 0.958 0.254
0.693 0.103 0.770
0.020 0.020 0.940
0.522 0.522 0.435
0.821 0.821 0.537
0.323 0.323 0.032
```

=====

# 11
## NaCaMnBr6 (PBE)

Data for an optimized crystal structure of NaCaMnBr6.

Computed properties:
final energy: -33.96 eV per cell
energy relative to the elements, uncorrected: -1271 meV/atom
crystal system: trigonal

```
NaCaMnBr6
1.0
-4.417 -0.622 -4.840
-0.045 -6.993 0.940
-4.508 4.072 3.591
Br Na Mn Ca
6 1 1 1
Direct
0.731 0.993 0.292
0.269 0.993 0.701
0.731 0.299 0.007
0.731 0.708 0.701
0.269 0.299 0.292
0.269 0.708 0.007
0.000 0.333 0.667
0.500 0.000 0.000
0.500 0.667 0.333
```